An optimized crystal structure of Sm4P3. Source: Alexandria via LeMat-Bulk, functional PBE.

Structure (POSCAR):
```
Sm4P3
1.0
2.047 1.182 13.063
-2.047 1.182 13.063
0.000 -2.364 13.063
Sm P
4 3
Direct
0.124 0.124 0.124
0.375 0.375 0.375
0.625 0.625 0.625
0.876 0.876 0.876
0.000 0.000 0.000
0.247 0.247 0.247
0.753 0.753 0.753
```

Values from the calculation:
SG: R-3m, No. 166
Calculated formation energy: -1.331 eV per atom
Crystal system: trigonal
Total magnetic moment: 0.00 μB/cell



An optimized crystal structure of DyCu4Si2. Source: Alexandria via LeMat-Bulk, functional PBE.

Structure (POSCAR):
```
DyCu4Si2
1.0
3.997 0.000 0.000
0.000 12.913 0.000
0.000 0.000 4.007
Dy Cu Si
2 8 4
Direct
0.000 0.000 0.000
0.500 0.500 0.000
0.000 0.187 0.500
0.000 0.313 0.000
0.000 0.687 0.000
0.000 0.813 0.500
0.500 0.187 0.000
0.500 0.313 0.500
0.500 0.687 0.500
0.500 0.813 0.000
0.000 0.407 0.500
0.000 0.593 0.500
0.500 0.093 0.500
0.500 0.907 0.500
```

Values from the calculation:
SG: Cmmm, No. 65
Crystal system: orthorhombic
Formation energy (no corrections): -0.393 eV per atom
Total magnetic moment: 0.00 μB/cell



What did the first record say?
An optimized crystal structure of Sm4P3. Source: Alexandria via LeMat-Bulk, functional PBE.

Structure (POSCAR):
```
Sm4P3
1.0
2.047 1.182 13.063
-2.047 1.182 13.063
0.000 -2.364 13.063
Sm P
4 3
Direct
0.124 0.124 0.124
0.375 0.375 0.375
0.625 0.625 0.625
0.876 0.876 0.876
0.000 0.000 0.000
0.247 0.247 0.247
0.753 0.753 0.753
```

Values from the calculation:
SG: R-3m, No. 166
Calculated formation energy: -1.331 eV per atom
Crystal system: trigonal
Total magnetic moment: 0.00 μB/cell



Question: Which value of total magnetic moment does entry 2 give?
Answer: 0.00 μB/cell